Record 1
Material: TbPr5Er2Sc
Method: DFT, PBE-GGA
State: optimized geometry

Geometry as CIF:
```
data_TbPr5Er2Sc
_chemical_formula_sum 'Tb4 Pr20 Er8 Sc4'
_space_group_name_H-M_alt 'C m c 21'
_space_group_IT_number 36
_cell_length_a 5.398
_cell_length_b 21.918
_cell_length_c 10.328
_cell_angle_alpha 90.00
_cell_angle_beta 90.00
_cell_angle_gamma 90.00
loop_
_space_group_symop_operation_xyz
'x,y,z'
'-x,-y,z+1/2'
'-x,y,z'
'x,-y,z+1/2'
'x+1/2,y+1/2,z'
'-x+1/2,-y+1/2,z+1/2'
'-x+1/2,y+1/2,z'
'x+1/2,-y+1/2,z+1/2'
loop_
_atom_site_label
_atom_site_type_symbol
_atom_site_fract_x
_atom_site_fract_y
_atom_site_fract_z
Tb1 Tb 0.000 0.101 0.000
Pr1 Pr 0.000 0.000 0.250
Pr2 Pr 0.000 0.127 0.500
Pr3 Pr 0.000 0.221 0.187
Pr4 Pr 0.000 0.221 0.812
Pr5 Pr 0.000 0.499 0.000
Er1 Er 0.000 0.384 0.746
Er2 Er 0.000 0.385 0.254
Sc1 Sc 0.000 0.288 0.499
```

Values from the calculation:
Total moment: 0.00 μB per formula unit
Formation energy from the elements: 125 meV/atom



Record 2
Material: TbPr2ErSc
Method: DFT, PBE-GGA
State: optimized geometry

Geometry as CIF:
```
data_TbPr2ErSc
_chemical_formula_sum 'Tb4 Pr8 Er4 Sc4'
_space_group_name_H-M_alt 'C m c m'
_space_group_IT_number 63
_space_group_name_Hall '-C 2c 2'
_cell_length_a 8.244
_cell_length_b 11.393
_cell_length_c 7.232
_cell_angle_alpha 90.00
_cell_angle_beta 90.00
_cell_angle_gamma 90.00
loop_
_atom_site_label
_atom_site_type_symbol
_atom_site_fract_x
_atom_site_fract_y
_atom_site_fract_z
Tb1 Tb 0.000 0.229 0.250
Pr1 Pr 0.200 0.000 0.000
Er1 Er 0.000 0.241 0.750
Sc1 Sc 0.000 0.491 0.250
```

Values from the calculation:
Total moment: 0.00 μB per formula unit
Formation energy from the elements: 377 meV/atom



Record 3
Material: Pr3Er2ScTe6
Method: DFT, PBE-GGA
State: optimized geometry

Geometry as CIF:
```
data_Pr3Er2ScTe6
_chemical_formula_sum 'Pr6 Er4 Sc2 Te12'
_space_group_name_H-M_alt 'C 1 2/m 1'
_space_group_IT_number 12
_cell_length_a 19.372
_cell_length_b 4.333
_cell_length_c 8.956
_cell_angle_alpha 90.00
_cell_angle_beta 105.61
_cell_angle_gamma 90.00
loop_
_space_group_symop_operation_xyz
'x,y,z'
'-x,-y,-z'
'-x,y,-z'
'x,-y,z'
'x+1/2,y+1/2,z'
'-x+1/2,-y+1/2,-z'
'-x+1/2,y+1/2,-z'
'x+1/2,-y+1/2,z'
loop_
_atom_site_label
_atom_site_type_symbol
_atom_site_fract_x
_atom_site_fract_y
_atom_site_fract_z
Pr1 Pr 0.000 0.000 0.000
Pr2 Pr 0.170 0.500 0.337
Er1 Er 0.166 0.500 0.832
Sc1 Sc 0.000 0.000 0.500
Te1 Te 0.002 0.500 0.732
Te2 Te 0.158 0.000 0.592
Te3 Te 0.171 0.000 0.074
```

Values from the calculation:
Total moment: 0.00 μB per formula unit
VASP energy: -0.3943 Ry per atom



Record 4
Material: PrErScTe3
Method: DFT, PBE-GGA
State: optimized geometry

Geometry as CIF:
```
data_PrErScTe3
_chemical_formula_sum 'Pr2 Er2 Sc2 Te6'
_space_group_name_H-M_alt 'P 1 21/m 1'
_space_group_IT_number 11
_cell_length_a 8.775
_cell_length_b 4.313
_cell_length_c 9.942
_cell_angle_alpha 90.00
_cell_angle_beta 104.78
_cell_angle_gamma 90.00
loop_
_space_group_symop_operation_xyz
'x,y,z'
'-x,-y,-z'
'-x,y+1/2,-z'
'x,-y+1/2,z'
loop_
_atom_site_label
_atom_site_type_symbol
_atom_site_fract_x
_atom_site_fract_y
_atom_site_fract_z
Pr1 Pr 0.179 0.250 0.238
Er1 Er 0.328 0.750 0.833
Sc1 Sc 0.089 0.250 0.593
Te1 Te 0.098 0.250 0.886
Te2 Te 0.265 0.750 0.502
Te3 Te 0.423 0.750 0.158
```

Values from the calculation:
Total moment: 1.16 μB per formula unit
VASP energy: -0.3955 Ry per atom



Record 5
Material: Pr3Er3ScTe8
Method: DFT, PBE-GGA
State: optimized geometry

Geometry as CIF:
```
data_Pr3Er3ScTe8
_chemical_formula_sum 'Pr9 Er9 Sc3 Te24'
_space_group_name_H-M_alt 'R -3 m'
_space_group_IT_number 166
_space_group_name_Hall '-R 3 2"'
_cell_length_a 8.7485
_cell_length_b 8.7485
_cell_length_c 21.8216
_cell_angle_alpha 90.00
_cell_angle_beta 90.00
_cell_angle_gamma 120.00
loop_
_atom_site_label
_atom_site_type_symbol
_atom_site_fract_x
_atom_site_fract_y
_atom_site_fract_z
Pr1 Pr 0.0000 0.5000 0.0000
Er1 Er 0.0000 0.5000 0.5000
Sc1 Sc 0.0000 0.0000 0.5000
Te1 Te 0.0000 0.0000 0.2445
Te2 Te 0.9996 0.4998 0.2444
```

Values from the calculation:
Total moment: 0.00 μB per formula unit
VASP energy: -0.3914 Ry per atom



Record 6
Material: Pr2ErScTe4
Method: DFT, PBE-GGA
State: optimized geometry

Geometry as CIF:
```
data_Pr2ErScTe4
_chemical_formula_sum 'Pr2 Er1 Sc1 Te4'
_space_group_name_H-M_alt 'P 1 2/m 1'
_space_group_IT_number 10
_cell_length_a 7.499
_cell_length_b 4.308
_cell_length_c 7.814
_cell_angle_alpha 90.00
_cell_angle_beta 108.50
_cell_angle_gamma 90.00
loop_
_space_group_symop_operation_xyz
'x,y,z'
'-x,-y,-z'
'-x,y,-z'
'x,-y,z'
loop_
_atom_site_label
_atom_site_type_symbol
_atom_site_fract_x
_atom_site_fract_y
_atom_site_fract_z
Pr1 Pr 0.000 0.000 0.000
Pr2 Pr 0.500 0.500 0.000
Er1 Er 0.000 0.500 0.500
Sc1 Sc 0.500 0.000 0.500
Te1 Te 0.248 0.000 0.729
Te2 Te 0.264 0.500 0.275
```

Values from the calculation:
Total moment: 0.00 μB per formula unit
VASP energy: -0.3987 Ry per atom



Record 7
Material: PrEr3ThSc
Method: DFT, PBE-GGA
State: optimized geometry

Geometry as CIF:
```
data_PrEr3ThSc
_chemical_formula_sum 'Pr2 Er6 Th2 Sc2'
_space_group_name_H-M_alt 'P 1 21/m 1'
_space_group_IT_number 11
_cell_length_a 7.850
_cell_length_b 5.010
_cell_length_c 9.933
_cell_angle_alpha 90.00
_cell_angle_beta 108.93
_cell_angle_gamma 90.00
loop_
_space_group_symop_operation_xyz
'x,y,z'
'-x,-y,-z'
'-x,y+1/2,-z'
'x,-y+1/2,z'
loop_
_atom_site_label
_atom_site_type_symbol
_atom_site_fract_x
_atom_site_fract_y
_atom_site_fract_z
Pr1 Pr 0.174 0.250 0.297
Er1 Er 0.176 0.750 0.046
Er2 Er 0.176 0.750 0.543
Er3 Er 0.177 0.250 0.791
Th1 Th 0.498 0.750 0.876
Sc1 Sc 0.499 0.250 0.627
```

Values from the calculation:
Total moment: 0.00 μB per formula unit
Formation energy from the elements: 42 meV/atom



Record 8
Material: PrEr2ThSc4
Method: DFT, PBE-GGA
State: optimized geometry

Geometry as CIF:
```
data_PrEr2ThSc4
_chemical_formula_sum 'Pr1 Er2 Th1 Sc4'
_space_group_name_H-M_alt 'P 4/m m m'
_space_group_IT_number 123
_space_group_name_Hall '-P 4 2'
_cell_length_a 4.988
_cell_length_b 4.988
_cell_length_c 9.078
_cell_angle_alpha 90.00
_cell_angle_beta 90.00
_cell_angle_gamma 90.00
loop_
_atom_site_label
_atom_site_type_symbol
_atom_site_fract_x
_atom_site_fract_y
_atom_site_fract_z
Pr1 Pr 0.000 0.000 0.000
Er1 Er 0.000 0.000 0.500
Er2 Er 0.500 0.500 0.000
Th1 Th 0.500 0.500 0.500
Sc1 Sc 0.000 0.500 0.255
```

Values from the calculation:
Total moment: 0.00 μB per formula unit
Formation energy from the elements: 42 meV/atom



Record 9
Material: PrErThSc
Method: DFT, PBE-GGA
State: optimized geometry

Geometry as CIF:
```
data_PrErThSc
_chemical_formula_sum 'Pr3 Er3 Th3 Sc3'
_space_group_name_H-M_alt 'R 3 m'
_space_group_IT_number 160
_space_group_name_Hall 'R 3 -2"'
_cell_length_a 3.5450
_cell_length_b 3.5450
_cell_length_c 33.8320
_cell_angle_alpha 90.00
_cell_angle_beta 90.00
_cell_angle_gamma 120.00
loop_
_atom_site_label
_atom_site_type_symbol
_atom_site_fract_x
_atom_site_fract_y
_atom_site_fract_z
Pr1 Pr 0.0000 0.0000 0.0000
Er1 Er 0.0000 0.0000 0.7557
Th1 Th 0.0000 0.0000 0.1713
Sc1 Sc 0.0000 0.0000 0.5827
```

Values from the calculation:
Energy relative to the lowest polymorph listed for this composition: 0 meV per atom
Total moment: 0.00 μB per formula unit
Formation energy from the elements: 43 meV/atom



Record 10
Material: PrErThSc
Method: DFT, PBE-GGA
State: optimized geometry

Geometry as CIF:
```
data_PrErThSc
_chemical_formula_sum 'Pr4 Er4 Th4 Sc4'
_space_group_name_H-M_alt 'F -4 3 m'
_space_group_IT_number 216
_space_group_name_Hall 'F -4 2 3'
_cell_length_a 7.895
_cell_length_b 7.895
_cell_length_c 7.895
_cell_angle_alpha 90.00
_cell_angle_beta 90.00
_cell_angle_gamma 90.00
loop_
_atom_site_label
_atom_site_type_symbol
_atom_site_fract_x
_atom_site_fract_y
_atom_site_fract_z
Pr1 Pr 0.000 0.000 0.000
Er1 Er 0.250 0.250 0.750
Th1 Th 0.000 0.000 0.500
Sc1 Sc 0.250 0.250 0.250
```

Values from the calculation:
Energy relative to the lowest polymorph listed for this composition: 62 meV per atom
Total moment: 0.00 μB per formula unit
Formation energy from the elements: 105 meV/atom



Record 11
Material: Pr2ErScTl2
Method: DFT, PBE-GGA
State: optimized geometry

Geometry as CIF:
```
data_Pr2ErScTl2
_chemical_formula_sum 'Pr4 Er2 Sc2 Tl4'
_space_group_name_H-M_alt 'P m c 21'
_space_group_IT_number 26
_cell_length_a 5.012
_cell_length_b 10.056
_cell_length_c 6.948
_cell_angle_alpha 90.00
_cell_angle_beta 90.00
_cell_angle_gamma 90.00
loop_
_space_group_symop_operation_xyz
'x,y,z'
'-x,-y,z+1/2'
'-x,y,z'
'x,-y,z+1/2'
loop_
_atom_site_label
_atom_site_type_symbol
_atom_site_fract_x
_atom_site_fract_y
_atom_site_fract_z
Pr1 Pr 0.000 0.048 0.000
Pr2 Pr 0.500 0.189 0.271
Er1 Er 0.500 0.457 0.898
Sc1 Sc 0.000 0.314 0.607
Tl1 Tl 0.000 0.389 0.168
Tl2 Tl 0.500 0.154 0.735
```

Values from the calculation:
Total moment: 0.00 μB per formula unit
Formation energy from the elements: -249 meV/atom



Record 12
Material: Pr2ErTmSc
Method: DFT, PBE-GGA
State: optimized geometry

Geometry as CIF:
```
data_Pr2ErTmSc
_chemical_formula_sum 'Pr8 Er4 Tm4 Sc4'
_space_group_name_H-M_alt 'C m c m'
_space_group_IT_number 63
_space_group_name_Hall '-C 2c 2'
_cell_length_a 6.461
_cell_length_b 15.746
_cell_length_c 6.493
_cell_angle_alpha 90.00
_cell_angle_beta 90.00
_cell_angle_gamma 90.00
loop_
_atom_site_label
_atom_site_type_symbol
_atom_site_fract_x
_atom_site_fract_y
_atom_site_fract_z
Pr1 Pr 0.249 0.000 0.000
Er1 Er 0.000 0.339 0.250
Tm1 Tm 0.000 0.251 0.750
Sc1 Sc 0.000 0.155 0.250
```

Values from the calculation:
Total moment: 0.00 μB per formula unit
Formation energy from the elements: 404 meV/atom